Entry 1:
This record from Alexandria via LeMat-Bulk describes Tb2AlGe3Ir4 after structural relaxation. The functional is PBE.

a b c (Å): 4.178 4.178 10.371
angles (deg): 90.00 90.00 90.00
Space group P-4m2 (No. 115)
Unique sites:
Tb1 0.000 0.500 0.248 (multiplicity 2)
Al1 0.000 0.000 0.500 (multiplicity 1)
Ge1 0.000 0.500 0.868 (multiplicity 2)
Ge2 0.500 0.500 0.500 (multiplicity 1)
Ir1 0.000 0.000 0.000 (multiplicity 1)
Ir2 0.000 0.500 0.634 (multiplicity 2)
Ir3 0.500 0.500 0.000 (multiplicity 1)

Calculated values
The calculation puts the electronic total energy at -7.046 eV/atom.

***

Entry 2:
This record from Alexandria via LeMat-Bulk describes Sr4MnRu after structural relaxation. The functional is PBE.

a b c (Å): 9.440 9.440 9.440
angles (deg): 90.00 90.00 90.00
Space group F-43m (No. 216)
Unique sites:
Sr1 0.124 0.124 0.376 (multiplicity 16)
Mn1 0.000 0.000 0.000 (multiplicity 4)
Ru1 0.250 0.250 0.750 (multiplicity 4)

Calculated values
The calculation puts the electronic total energy at -2.906 eV/atom.

***

Entry 3:
This record from Alexandria via LeMat-Bulk describes TbCu2Te2 after structural relaxation. The functional is PBE.

a b c (Å): 8.561 12.791 6.078
angles (deg): 90.00 132.62 90.00
Space group C2/c (No. 15)
Unique sites:
Tb1 0.000 0.112 0.250 (multiplicity 4)
Cu1 0.173 0.465 0.084 (multiplicity 8)
Te1 0.000 0.141 0.750 (multiplicity 4)
Te2 0.000 0.364 0.250 (multiplicity 4)

Calculated values
Its energy relative to the elements, uncorrected is -504 meV per atom.

***

Entry 4:
This record from Alexandria via LeMat-Bulk describes La2CdPdN after structural relaxation. The functional is PBE.

a b c (Å): 5.126 5.126 4.316
angles (deg): 90.00 90.00 90.00
Space group P4/mmm (No. 123)
Unique sites:
La1 0.000 0.500 0.000 (multiplicity 2)
Cd1 0.000 0.000 0.500 (multiplicity 1)
Pd1 0.500 0.500 0.500 (multiplicity 1)
N1 0.500 0.500 0.000 (multiplicity 1)

Calculated values
Its energy relative to the elements, uncorrected is -642 meV per atom.

***

Entry 5:
This record from Alexandria via LeMat-Bulk describes YB2Ir2 after structural relaxation. The functional is PBE.

a b c (Å): 5.885 9.303 10.832
angles (deg): 90.00 90.00 90.00
Space group Fddd (No. 70, origin choice 2)
Unique sites:
Y1 0.125 0.125 0.125 (multiplicity 8)
B1 0.125 0.307 0.625 (multiplicity 16)
Ir1 0.125 0.125 0.497 (multiplicity 16)

Calculated values
The calculation puts the electronic total energy at -8.243 eV/atom.

***

Entry 6:
This record from Alexandria via LeMat-Bulk describes Na2PaBr8 after structural relaxation. The functional is PBE.

a b c (Å): 8.961 12.292 13.765
angles (deg): 90.00 90.00 90.00
Space group Fmmm (No. 69)
Unique sites:
Na1 0.250 0.250 0.250 (multiplicity 8)
Pa1 0.000 0.000 0.000 (multiplicity 4)
Br1 0.000 0.000 0.213 (multiplicity 8)
Br2 0.000 0.220 0.109 (multiplicity 16)
Br3 0.205 0.000 0.500 (multiplicity 8)

Calculated values
Its energy relative to the elements, uncorrected is -1150 meV per atom.